A plane-wave DFT calculation with PBE-GGA was carried out for an optimized crystal structure of Pm2Ga2Hg3.

Geometry as CIF:
```
data_Pm2Ga2Hg3
_space_group_name_H-M_alt 'C 1 2/m 1'
_space_group_IT_number 12
_cell_length_a 11.0033
_cell_length_b 4.6633
_cell_length_c 6.8375
_cell_angle_alpha 90.00
_cell_angle_beta 108.39
_cell_angle_gamma 90.00
loop_
_space_group_symop_operation_xyz
'x,y,z'
'-x,-y,-z'
'-x,y,-z'
'x,-y,z'
'x+1/2,y+1/2,z'
'-x+1/2,-y+1/2,-z'
'-x+1/2,y+1/2,-z'
'x+1/2,-y+1/2,z'
loop_
_atom_site_label
_atom_site_type_symbol
_atom_site_fract_x
_atom_site_fract_y
_atom_site_fract_z
Pm1 Pm 0.1403 0.0000 0.2627
Ga1 Ga 0.0883 0.5000 0.9214
Hg1 Hg 0.0000 0.5000 0.5000
Hg2 Hg 0.1693 0.0000 0.7628
```

Summary:
VASP energy, eV per formula unit: -19.51
Formation enthalpy at 0 K, eV/atom: -0.435
Offset from the most stable computed form, meV per atom: 0
Total moment, μB per formula unit: 0.00